! GaNiIO2 | Alexandria | PBE+U | relaxed; values from VASP
&SYSTEM
  ibrav = 0, nat = 5, ntyp = 4
/
ATOMIC_SPECIES
I 126.90 I.upf
Ni 58.69 Ni.upf
O 16.00 O.upf
Ga 69.72 Ga.upf
ATOMIC_POSITIONS crystal
I 0.000 0.000 0.500
Ni 0.000 0.000 0.000
O 0.000 0.500 0.000
O 0.500 0.000 0.000
Ga 0.500 0.500 0.500
CELL_PARAMETERS angstrom
3.988 0.000 0.000
0.000 3.988 0.000
0.000 0.000 5.695
! Polymorph energy (0 for the lowest one) ... 394 meV/atom
! Symmetry ... No. 123
! DOS(E_F) ... 2.58 states/eV per cell
! Total DFT energy (no corrections) ... -3.32 eV/atom